# 1
Compound: YTi2InF
Source: Alexandria via LeMat-Bulk
Functional: PBE
Structure: optimized geometry

## Properties
total magnetization = 4.976 μB per formula unit

```
data_YTi2InF
_chemical_formula_sum 'Y1 Ti2 In1 F1'
_cell_length_a 5.448
_cell_length_b 5.448
_cell_length_c 4.413
_cell_angle_alpha 90.00
_cell_angle_beta 90.00
_cell_angle_gamma 90.00
_space_group_name_H-M_alt 'P 4/m m m'
_space_group_IT_number 123
_space_group_name_Hall '-P 4 2'
loop_
_atom_site_label
_atom_site_fract_x
_atom_site_fract_y
_atom_site_fract_z
Y1 0.000 0.000 0.000
Ti1 0.000 0.500 0.500
In1 0.500 0.500 0.500
F1 0.500 0.500 0.000
```

=====

# 2
Compound: TlIn3F
Source: Alexandria via LeMat-Bulk
Functional: PBE
Structure: optimized geometry

## Properties
total magnetization = 0.000 μB per formula unit

```
data_TlIn3F
_chemical_formula_sum 'Tl1 In3 F1'
_cell_length_a 5.837
_cell_length_b 5.837
_cell_length_c 5.837
_cell_angle_alpha 90.00
_cell_angle_beta 90.00
_cell_angle_gamma 90.00
_space_group_name_H-M_alt 'P m -3 m'
_space_group_IT_number 221
_space_group_name_Hall '-P 4 2 3'
loop_
_atom_site_label
_atom_site_fract_x
_atom_site_fract_y
_atom_site_fract_z
Tl1 0.000 0.000 0.000
In1 0.000 0.000 0.500
F1 0.500 0.500 0.500
```

=====

# 3
Compound: TlIn2F
Source: Alexandria via LeMat-Bulk
Functional: PBE
Structure: optimized geometry

## Properties
total magnetization = 0.000 μB per formula unit

```
data_TlIn2F
_chemical_formula_sum 'Tl3 In6 F3'
_cell_length_a 4.7895
_cell_length_b 4.7895
_cell_length_c 21.5439
_cell_angle_alpha 90.00
_cell_angle_beta 90.00
_cell_angle_gamma 120.00
_space_group_name_H-M_alt 'R -3 m'
_space_group_IT_number 166
_space_group_name_Hall '-R 3 2"'
loop_
_atom_site_label
_atom_site_fract_x
_atom_site_fract_y
_atom_site_fract_z
Tl1 0.0000 0.0000 0.0000
In1 0.0000 0.0000 0.3981
F1 0.0000 0.0000 0.5000
```

=====

# 4
Compound: Tl3InF8
Source: Alexandria via LeMat-Bulk
Functional: PBE
Structure: optimized geometry

## Properties
total magnetization = 0.000 μB per formula unit

```
data_Tl3InF8
_chemical_formula_sum 'Tl6 In2 F16'
_cell_length_a 6.008
_cell_length_b 6.008
_cell_length_c 10.832
_cell_angle_alpha 90.00
_cell_angle_beta 90.00
_cell_angle_gamma 90.00
_space_group_name_H-M_alt 'I 4/m m m'
_space_group_IT_number 139
_space_group_name_Hall '-I 4 2'
loop_
_atom_site_label
_atom_site_fract_x
_atom_site_fract_y
_atom_site_fract_z
Tl1 0.000 0.000 0.000
Tl2 0.000 0.500 0.250
In1 0.000 0.000 0.500
F1 0.215 0.215 0.376
```

=====

# 5
Compound: TlIn2F
Source: Alexandria via LeMat-Bulk
Functional: PBE
Structure: optimized geometry

## Properties
total magnetization = 0.000 μB per formula unit

```
data_TlIn2F
_chemical_formula_sum 'Tl4 In8 F4'
_cell_length_a 7.215
_cell_length_b 7.215
_cell_length_c 7.215
_cell_angle_alpha 90.00
_cell_angle_beta 90.00
_cell_angle_gamma 90.00
_space_group_name_H-M_alt 'F m -3 m'
_space_group_IT_number 225
_space_group_name_Hall '-F 4 2 3'
loop_
_atom_site_label
_atom_site_fract_x
_atom_site_fract_y
_atom_site_fract_z
Tl1 0.000 0.000 0.000
In1 0.250 0.250 0.250
F1 0.000 0.000 0.500
```

=====

# 6
Compound: TlIn3F9
Source: Alexandria via LeMat-Bulk
Functional: PBE
Structure: optimized geometry

## Properties
total magnetization = 0.000 μB per formula unit

```
data_TlIn3F9
_chemical_formula_sum 'Tl1 In3 F9'
_cell_length_a 8.1697
_cell_length_b 8.1697
_cell_length_c 4.2678
_cell_angle_alpha 90.00
_cell_angle_beta 90.00
_cell_angle_gamma 120.00
_space_group_name_H-M_alt 'P 6/m m m'
_space_group_IT_number 191
_space_group_name_Hall '-P 6 2'
loop_
_atom_site_label
_atom_site_fract_x
_atom_site_fract_y
_atom_site_fract_z
Tl1 0.0000 0.0000 0.0000
In1 0.0000 0.5000 0.5000
F1 0.0000 0.5000 0.0000
F2 0.2015 0.4030 0.5000
```

=====

no.,total energy (eV/atom)
1,-5.0293
2,-2.4157
3,-3.0453
4,-4.0131
5,-2.9791
6,-4.4350